First-principles (PBE-GGA) data for Tl4SnSb2 after structural relaxation, as listed in Alexandria via LeMat-Bulk.

Unit cell a=7.091 b=7.091 c=4.546 alpha=90.00 beta=90.00 gamma=98.05
Sites, in units of the cell vectors:
Tl: 0.000 0.500 0.500
Tl: 0.199 0.199 0.000
Tl: 0.500 0.000 0.500
Tl: 0.801 0.801 0.000
Sn: 0.500 0.500 0.500
Sb: 0.292 0.708 0.000
Sb: 0.708 0.292 0.000

Computed properties:
- D(E_F) (states/eV/f.u.) = 3.052
- E_form (uncorrected) (meV per atom) = 39
- SG = Cmmm, No. 65